DFT (PBE) results for an optimized crystal structure of TmIn4Pd15.

Geometry as POSCAR:
```
TmIn4Pd15
1.0
-3.1281 0.1122 2.5784
-1.0165 -3.7776 -1.0688
11.8181 -7.3268 14.6563
Pd In Tm
15 4 1
Cartesian
5.4008 -5.5522 6.7938 Pd
7.3675 -7.6851 12.4617 Pd
-0.3546 -0.6937 2.7891 Pd
5.0085 -6.2226 9.5362 Pd
10.1004 -8.4658 12.6221 Pd
1.9971 -2.1517 5.7056 Pd
2.6649 -4.7696 6.6298 Pd
-2.0723 -1.8327 0.7548 Pd
4.3450 -3.6073 8.6174 Pd
7.7487 -7.0078 9.7055 Pd
3.0529 -4.0966 3.8820 Pd
9.0446 -6.5209 14.4457 Pd
6.6929 -5.0629 11.5292 Pd
0.3059 -3.3071 3.7042 Pd
0.7012 -2.6386 0.9655 Pd
7.0849 -4.3924 8.7865 In
4.7332 -2.9344 5.8699 In
2.3951 -1.4849 2.9703 In
9.4230 -5.8419 11.6860 In
0.0000 0.0000 0.0000 Tm
```

Properties
Magnetic moment, μB per formula unit: 0.00
E, eV/cell: -103.84
Symmetry: P4/mmm, No. 123
DOS at the Fermi energy, states/eV/cell: 18.2
ΔE_f, eV/atom: -0.526


DFT (PBE) results for an optimized crystal structure of AcScBe2Ge2.

Geometry as POSCAR:
```
AcScBe2Ge2
1.0
-2.7568 -0.1488 2.8369
3.6210 -1.4472 0.6810
2.4766 7.5144 2.8008
Ge Sc Ac Be
2 1 1 2
Cartesian
2.2087 1.1509 2.2067 Ge
1.1321 4.7675 4.1120 Ge
1.2383 3.7572 1.4004 Sc
0.0000 0.0000 0.0000 Ac
3.2603 4.3418 3.3961 Be
0.0804 1.5766 2.9227 Be
```

Properties
Magnetic moment, μB per formula unit: 0.00
E, eV/cell: -30.34
Symmetry: P-3m1, No. 164
DOS at the Fermi energy, states/eV/cell: 4.1
ΔE_f, eV/atom: -0.535


DFT (PBE) results for an optimized crystal structure of Sm3Y2Th2.

Geometry as POSCAR:
```
Sm3Y2Th2
1.0
-2.6810 1.4649 1.6659
-1.7850 -7.6021 3.8121
6.8733 4.9627 3.0631
Y Sm Th
2 3 2
Cartesian
-2.2587 -5.4441 4.7866 Y
4.6660 4.2697 3.7545 Y
-0.8925 -3.8010 1.9060 Sm
0.9648 -3.5890 4.7086 Sm
1.4425 2.4145 3.8326 Sm
1.3377 -0.2880 6.0404 Th
1.0696 -0.8865 2.5008 Th
```

Properties
Magnetic moment, μB per formula unit: 0.00
E, eV/cell: -40.95
Symmetry: C2/m, No. 12
DOS at the Fermi energy, states/eV/cell: 11.1
ΔE_f, eV/atom: 0.139